Entry 1
Density functional theory data (PBE) for a geometry-optimized NdEr2Tc structure.

Lattice parameters (Å, degrees): 4.8185 4.8185 15.3818 90.00 90.00 120.00
Space group R-3m (No. 166, hexagonal axes)
Unique sites:
Nd  0.0000  0.0000  0.0000 x3
Er  0.0000  0.0000  0.2258 x6
Tc  0.0000  0.0000  0.5000 x3

Crystal system: trigonal
DOS(E_F) in states/eV/atom: 0.9286

=====

Entry 2
Density functional theory data (PBE) for a geometry-optimized NdEr2Tc structure.

Lattice parameters (Å, degrees): 3.436 3.436 9.092 90.00 90.00 90.00
Space group P4/mmm (No. 123)
Unique sites:
Nd  0.000  0.000  0.000 x1
Er  0.500  0.500  0.320 x2
Tc  0.000  0.000  0.500 x1

Crystal system: tetragonal
DOS(E_F) in states/eV/atom: 1.7411

=====

The structure with the least stability is entry 1.

=====

Entry 1
Density functional theory data (PBE) for a geometry-optimized NdErTe structure.

Lattice parameters (Å, degrees): 3.918 3.918 11.743 90.00 90.00 90.00
Space group I4mm (No. 107)
Unique sites:
Nd  0.000  0.000  0.000 x2
Er  0.000  0.000  0.310 x2
Te  0.000  0.000  0.671 x2

Crystal system: tetragonal
DOS(E_F) in states/eV/atom: 0.8881

=====

Entry 2
Density functional theory data (PBE) for a geometry-optimized NdErTe structure.

Lattice parameters (Å, degrees): 16.837 4.017 11.187 90.00 92.63 90.00
Space group C2/m (No. 12)
Unique sites:
Nd  0.025  0.000  0.351 x4
Nd  0.115  0.500  0.842 x4
Er  0.193  0.000  0.082 x4
Er  0.249  0.500  0.336 x4
Te  0.074  0.500  0.153 x4
Te  0.121  0.500  0.542 x4

Crystal system: monoclinic
DOS(E_F) in states/eV/atom: 1.0437

=====

Entry 3
Density functional theory data (PBE) for a geometry-optimized NdErTe structure.

Lattice parameters (Å, degrees): 5.1987 5.1987 4.0351 90.00 90.00 120.00
Space group P3m1 (No. 156)
Unique sites:
Nd  0.0000  0.0000  0.0000 x1
Er  0.3333  0.6667  0.5082 x1
Te  0.6667  0.3333  0.6538 x1

Crystal system: trigonal
DOS(E_F) in states/eV/atom: 1.4001

=====

Entry 4
Density functional theory data (PBE) for a geometry-optimized NdErTe structure.

Lattice parameters (Å, degrees): 7.307 7.279 7.142 90.00 90.15 90.00
Space group C2/m (No. 12)
Unique sites:
Nd  0.000  0.250  0.000 x4
Er  0.000  0.250  0.500 x4
Te  0.250  0.000  0.274 x4

Crystal system: monoclinic
DOS(E_F) in states/eV/atom: 1.2637

=====

The structure with the least stability is entry 3.

=====

Entry 1
Density functional theory data (PBE) for a geometry-optimized NdEr6Te8 structure.

Lattice parameters (Å, degrees): 9.2643 9.2643 18.3853 90.00 90.00 120.00
Space group R-3 (No. 148, hexagonal axes)
Unique sites:
Nd  0.0000  0.0000  0.0000 x3
Er  0.0033  0.3803  0.0737 x18
Te  0.0000  0.0000  0.3242 x6
Te  0.0081  0.7207  0.0950 x18

Crystal system: trigonal
DOS(E_F) in states/eV/atom: 0.6137

=====

Entry 2
Density functional theory data (PBE) for a geometry-optimized NdEr6Te8 structure.

Lattice parameters (Å, degrees): 12.197 12.197 12.197 90.00 90.00 90.00
Space group Fm-3m (No. 225)
Unique sites:
Nd  0.000  0.000  0.000 x4
Er  0.000  0.250  0.250 x24
Te  0.000  0.000  0.263 x24
Te  0.250  0.250  0.250 x8

Crystal system: cubic
DOS(E_F) in states/eV/atom: 0.4333

=====

The structure with the least stability is entry 1.

=====

Entry 1
Density functional theory data (PBE) for a geometry-optimized Nd7Er4Th structure.

Lattice parameters (Å, degrees): 6.317 7.285 8.985 90.13 103.71 90.02
Space group P-1 (No. 2)
Unique sites:
Nd  0.000  0.000  0.000 x1
Nd  0.220  0.500  0.670 x2
Nd  0.278  0.251  0.333 x2
Nd  0.499  0.252  0.998 x2
Er  0.219  0.000  0.662 x2
Er  0.274  0.752  0.331 x2
Th  0.000  0.500  0.000 x1

Crystal system: triclinic
DOS(E_F) in states/eV/atom: 1.3410

=====

Entry 2
Density functional theory data (PBE) for a geometry-optimized Nd7Er4Th structure.

Lattice parameters (Å, degrees): 16.079 6.094 9.327 90.00 115.76 90.00
Space group C2/m (No. 12)
Unique sites:
Nd  0.000  0.000  0.000 x2
Nd  0.085  0.500  0.443 x4
Nd  0.208  0.500  0.883 x4
Nd  0.215  0.500  0.241 x4
Er  0.070  0.000  0.696 x4
Er  0.169  0.000  0.377 x4
Th  0.000  0.500  0.000 x2

Crystal system: monoclinic
DOS(E_F) in states/eV/atom: 1.6140

=====

The structure with the least stability is entry 2.

=====

Entry 1
Density functional theory data (PBE) for a geometry-optimized NdEr6Th2 structure.

Lattice parameters (Å, degrees): 12.689 14.188 6.572 90.00 101.68 90.00
Space group C2/c (No. 15)
Unique sites:
Nd  0.000  0.116  0.250 x4
Er  0.035  0.309  0.004 x8
Er  0.138  0.086  0.818 x8
Er  0.240  0.301  0.730 x8
Th  0.134  0.475  0.378 x8

Crystal system: monoclinic
DOS(E_F) in states/eV/atom: 1.3390

=====

Entry 2
Density functional theory data (PBE) for a geometry-optimized NdEr6Th2 structure.

Lattice parameters (Å, degrees): 3.5554 3.5554 26.2491 90.00 90.00 120.00
Space group P-6m2 (No. 187)
Unique sites:
Nd  0.0000  0.0000  0.0000 x1
Er  0.0000  0.0000  0.2182 x2
Er  0.0000  0.0000  0.4372 x2
Er  0.3333  0.6667  0.1123 x2
Th  0.3333  0.6667  0.3302 x2

Crystal system: hexagonal
DOS(E_F) in states/eV/atom: 2.0423

=====

The structure with the least stability is entry 1.

=====

Entry 1
Density functional theory data (PBE) for a geometry-optimized Nd12Er6Th structure.

Lattice parameters (Å, degrees): 12.1618 12.1618 15.2846 90.00 90.00 120.00
Space group R-3 (No. 148, hexagonal axes)
Unique sites:
Nd  0.0045  0.8312  0.1900 x18
Nd  0.0502  0.8522  0.4151 x18
Er  0.0179  0.4310  0.6863 x18
Th  0.0000  0.0000  0.0000 x3

Crystal system: trigonal
DOS(E_F) in states/eV/atom: 1.5959

=====

Entry 2
Density functional theory data (PBE) for a geometry-optimized Nd12Er6Th structure.

Lattice parameters (Å, degrees): 15.8155 15.8155 8.8547 90.00 90.00 120.00
Space group R-3 (No. 148, hexagonal axes)
Unique sites:
Nd  0.0358  0.7569  0.3383 x18
Nd  0.0730  0.5102  0.6667 x18
Er  0.0168  0.8804  0.6680 x18
Th  0.0000  0.0000  0.0000 x3

Crystal system: trigonal
DOS(E_F) in states/eV/atom: 1.3806

=====

The structure with the least stability is entry 1.

=====

Entry 1
Density functional theory data (PBE) for a geometry-optimized NdErTh structure.

Lattice parameters (Å, degrees): 3.5903 3.5903 8.7888 90.00 90.00 120.00
Space group P3m1 (No. 156)
Unique sites:
Nd  0.0000  0.0000  0.0000 x1
Er  0.6667  0.3333  0.3484 x1
Th  0.3333  0.6667  0.6670 x1

Crystal system: trigonal
DOS(E_F) in states/eV/atom: 1.6155

=====

Entry 2
Density functional theory data (PBE) for a geometry-optimized NdErTh structure.

Lattice parameters (Å, degrees): 5.961 5.961 6.397 90.00 90.00 90.00
Space group P4_2/mmc (No. 131)
Unique sites:
Nd  0.000  0.000  0.000 x2
Er  0.000  0.500  0.000 x2
Th  0.500  0.500  0.250 x2

Crystal system: tetragonal
DOS(E_F) in states/eV/atom: 1.6921

=====

The structure with the least stability is entry 2.

=====

Entry 1
Density functional theory data (PBE) for a geometry-optimized NdErTh structure.

Lattice parameters (Å, degrees): 3.604 3.604 15.134 90.00 90.00 90.00
Space group I4mm (No. 107)
Unique sites:
Nd  0.000  0.000  0.000 x2
Er  0.000  0.000  0.680 x2
Th  0.000  0.000  0.336 x2

Crystal system: tetragonal
DOS(E_F) in states/eV/atom: 1.3636

=====

Entry 2
Density functional theory data (PBE) for a geometry-optimized NdErTh structure.

Lattice parameters (Å, degrees): 6.773 6.947 10.760 99.84 99.12 118.86
Space group P-1 (No. 2)
Unique sites:
Nd  0.000  0.250  0.000 x2
Nd  0.500  0.250  0.001 x2
Er  0.140  0.140  0.280 x2
Er  0.141  0.640  0.280 x2
Th  0.284  0.034  0.568 x2
Th  0.284  0.534  0.568 x2

Crystal system: triclinic
DOS(E_F) in states/eV/atom: 1.6278

=====

The structure with the least stability is entry 2.

=====

Entry 1
Density functional theory data (PBE) for a geometry-optimized NdEr5Th2 structure.

Lattice parameters (Å, degrees): 3.513 11.142 13.202 90.00 90.00 90.00
Space group Immm (No. 71)
Unique sites:
Nd  0.000  0.000  0.000 x2
Er  0.000  0.228  0.368 x8
Er  0.000  0.500  0.000 x2
Th  0.000  0.500  0.261 x4

Crystal system: orthorhombic
DOS(E_F) in states/eV/atom: 1.5379

=====

Entry 2
Density functional theory data (PBE) for a geometry-optimized NdEr5Th2 structure.

Lattice parameters (Å, degrees): 14.290 9.897 3.577 90.00 90.07 90.00
Space group C2/m (No. 12)
Unique sites:
Nd  0.000  0.000  0.000 x2
Er  0.000  0.500  0.000 x2
Er  0.127  0.252  0.500 x8
Th  0.249  0.500  0.000 x4

Crystal system: monoclinic
DOS(E_F) in states/eV/atom: 1.3346

=====

The structure with the least stability is entry 1.

=====

Entry 1
Density functional theory data (PBE) for a geometry-optimized NdEr2Th structure.

Lattice parameters (Å, degrees): 3.585 3.585 9.997 90.00 90.00 90.00
Space group P4/mmm (No. 123)
Unique sites:
Nd  0.000  0.000  0.000 x1
Er  0.500  0.500  0.259 x2
Th  0.000  0.000  0.500 x1

Crystal system: tetragonal
DOS(E_F) in states/eV/atom: 1.1061

=====

Entry 2
Density functional theory data (PBE) for a geometry-optimized NdEr2Th structure.

Lattice parameters (Å, degrees): 8.034 8.034 8.034 90.00 90.00 90.00
Space group Fm-3m (No. 225)
Unique sites:
Nd  0.000  0.000  0.000 x4
Er  0.250  0.250  0.250 x8
Th  0.000  0.000  0.500 x4

Crystal system: cubic
DOS(E_F) in states/eV/atom: 2.0407

=====

Entry 3
Density functional theory data (PBE) for a geometry-optimized NdEr2Th structure.

Lattice parameters (Å, degrees): 5.079 5.079 4.957 90.00 90.00 90.00
Space group P4/mmm (No. 123)
Unique sites:
Nd  0.000  0.000  0.000 x1
Er  0.000  0.500  0.500 x2
Th  0.500  0.500  0.000 x1

Crystal system: tetragonal
DOS(E_F) in states/eV/atom: 1.2279

=====

Entry 4
Density functional theory data (PBE) for a geometry-optimized NdEr2Th structure.

Lattice parameters (Å, degrees): 7.188 9.946 3.580 90.00 90.00 90.00
Space group Cmmm (No. 65)
Unique sites:
Nd  0.000  0.000  0.000 x2
Er  0.250  0.250  0.500 x4
Th  0.000  0.500  0.000 x2

Crystal system: orthorhombic
DOS(E_F) in states/eV/atom: 1.1423

=====

The structure with the least stability is entry 2.